Entry from Alexandria: a relaxed structure of KFeSi2 (PBEsol).

Properties
Final energy = -4.453 eV per atom
N(E_F) = 2.35 states/eV per cell
Raw formation energy = 364 kJ/mol of formula units

abc: 4.5679 4.5679 4.5679
angles: 120.14 120.14 89.76
Sites, in units of the cell vectors:
K1 0.0000 0.0000 0.0000
Fe1 0.2500 0.7500 0.5000
Si1 0.5000 0.5000 0.0000
Si2 0.7500 0.2500 0.5000